Tc3HOs | PBE | relaxed

Properties
Its excess energy over the best structure of this formula in the dataset is 2288 meV per atom. As for the symmetry: Pm-3m, No. 221. The spin magnetization is 3.93 μB/f.u.

Cell lengths 4.731, 4.731, 4.731 Å; angles 90.00, 90.00, 90.00 degrees
Sites, in units of the cell vectors:
Tc  0.000  0.000  0.500
Tc  0.000  0.500  0.000
Tc  0.500  0.000  0.000
H  0.500  0.500  0.500
Os  0.000  0.000  0.000

TcPdSe2O | PBE | relaxed

Properties
As for the symmetry: P4/mmm, No. 123. For the uncorrected formation energy, the calculation gives 0.663 eV/atom. The spin magnetization is 2.75 μB/f.u.

Cell lengths 4.503, 4.503, 4.088 Å; angles 90.00, 90.00, 90.00 degrees
Sites, in units of the cell vectors:
Tc  0.000  0.000  0.000
Pd  0.500  0.500  0.000
Se  0.000  0.500  0.500
Se  0.500  0.000  0.500
O  0.500  0.500  0.500

The lowest spin magnetization belongs to which entry?
TcPdSe2O